Record 1
A relaxed Mn2NiAsIr crystal. Source: Alexandria, functional GGA-PBE.

Fermi-level density of states = 4.979 states/eV per cell
M_tot = 7.596 μB per formula unit
E = -32.6 eV for the cell shown
Space group = P4/mmm, No. 123

Cell and atoms, written as POSCAR:
```
Mn2NiAsIr
1.0
4.773 0.000 0.000
0.000 4.773 0.000
0.000 0.000 4.540
Mn Ni As Ir
2 1 1 1
Direct
0.000 0.500 0.000
0.500 0.000 0.000
0.000 0.000 0.500
0.500 0.500 0.500
0.000 0.000 0.000
```


Record 2
A relaxed LiZrC3 crystal. Source: Alexandria, functional GGA-PBE.

Fermi-level density of states = 4.442 states/eV per cell
M_tot = 0.000 μB per formula unit
E = -28.7 eV for the cell shown
Space group = Pm-3m, No. 221
Distance to the lowest polymorph of the same formula = 96.1 kJ/mol of formula units

Cell and atoms, written as POSCAR:
```
LiZrC3
1.0
4.368 0.000 0.000
0.000 4.368 0.000
0.000 0.000 4.368
Li Zr C
1 1 3
Direct
0.000 0.000 0.000
0.500 0.500 0.500
0.000 0.500 0.500
0.500 0.000 0.500
0.500 0.500 0.000
```


Record 3
A relaxed WBr3 crystal. Source: Alexandria, functional GGA-PBE.

Fermi-level density of states = 3.686 states/eV per cell
M_tot = 2.868 μB per formula unit
E = -17.4 eV for the cell shown
Space group = Pm-3m, No. 221
ΔE_f (raw) = 0.138 eV per atom
Distance to the lowest polymorph of the same formula = 90.2 kJ/mol of formula units

Cell and atoms, written as POSCAR:
```
WBr3
1.0
5.212 0.000 0.000
0.000 5.212 0.000
0.000 0.000 5.212
W Br
1 3
Direct
0.000 0.000 0.000
0.000 0.000 0.500
0.000 0.500 0.000
0.500 0.000 0.000
```


Record 4
A relaxed YCoAu2 crystal. Source: Alexandria, functional GGA-PBE.

Fermi-level density of states = 3.383 states/eV per cell
M_tot = 1.175 μB per formula unit
E = -21.2 eV for the cell shown
Space group = P4mm, No. 99

Cell and atoms, written as POSCAR:
```
YCoAu2
1.0
3.550 0.000 0.000
0.000 3.550 0.000
0.000 0.000 6.001
Y Co Au
1 1 2
Direct
0.000 0.000 0.000
0.500 0.500 0.724
0.000 0.000 0.527
0.500 0.500 0.271
```


Record 5
A relaxed Te2PbSe crystal. Source: Alexandria, functional GGA-PBE.

Fermi-level density of states = 3.025 states/eV per cell
M_tot = 0.000 μB per formula unit
E = -13.9 eV for the cell shown
Space group = C2/m, No. 12
ΔE_f (raw) = -0.117 eV per atom

Cell and atoms, written as POSCAR:
```
Te2PbSe
1.0
3.063 -4.552 0.000
3.063 4.552 0.000
-3.044 0.000 4.550
Te Pb Se
2 1 1
Direct
0.000 0.500 0.000
0.500 0.000 0.000
0.000 0.000 0.500
0.500 0.500 0.500
```


Record 6
A relaxed K2ScMnS4 crystal. Source: Alexandria, functional GGA-PBE.

Fermi-level density of states = 1.284 states/eV per cell
M_tot = 3.998 μB per formula unit
E = -87.2 eV for the cell shown
Space group = Imma, No. 74
ΔE_f (raw) = -1.177 eV per atom

Cell and atoms, written as POSCAR:
```
K2ScMnS4
1.0
-3.905 3.930 5.869
3.905 -3.930 5.869
3.905 3.930 -5.869
K Sc Mn S
4 2 2 8
Direct
0.000 0.000 0.000
0.500 0.000 0.000
0.500 0.000 0.500
0.500 0.500 0.500
0.000 0.500 0.500
0.500 0.500 0.000
0.000 0.000 0.500
0.000 0.500 0.000
0.177 0.734 0.443
0.209 0.266 0.943
0.242 0.278 0.536
0.242 0.705 0.964
0.758 0.295 0.036
0.758 0.722 0.464
0.791 0.734 0.057
0.823 0.266 0.557
```


Record 7
A relaxed BaTe3As crystal. Source: Alexandria, functional GGA-PBE.

Fermi-level density of states = 10.755 states/eV per cell
M_tot = 2.881 μB per formula unit
E = -11.8 eV for the cell shown
Space group = Pm-3m, No. 221
ΔE_f (raw) = 0.831 eV per atom

Cell and atoms, written as POSCAR:
```
BaTe3As
1.0
6.507 0.000 0.000
0.000 6.507 0.000
0.000 0.000 6.507
Ba Te As
1 3 1
Direct
0.000 0.000 0.000
0.000 0.000 0.500
0.000 0.500 0.000
0.500 0.000 0.000
0.500 0.500 0.500
```


Record 8
A relaxed RbBa2MgHg crystal. Source: Alexandria, functional GGA-PBE.

Fermi-level density of states = 6.601 states/eV per cell
M_tot = 0.059 μB per formula unit
E = -7.0 eV for the cell shown
Space group = P4/mmm, No. 123

Cell and atoms, written as POSCAR:
```
RbBa2MgHg
1.0
6.781 0.000 0.000
0.000 6.781 0.000
0.000 0.000 5.580
Rb Ba Mg Hg
1 2 1 1
Direct
0.000 0.000 0.000
0.000 0.500 0.500
0.500 0.000 0.500
0.500 0.500 0.000
0.500 0.500 0.500
```


Record 9
A relaxed Ni4Hg2N crystal. Source: Alexandria, functional GGA-PBE.

Fermi-level density of states = 6.359 states/eV per cell
M_tot = 0.000 μB per formula unit
E = -31.2 eV for the cell shown
Space group = I4/mmm, No. 139
ΔE_f (raw) = 0.119 eV per atom

Cell and atoms, written as POSCAR:
```
Ni4Hg2N
1.0
-1.883 1.883 6.763
1.883 -1.883 6.763
1.883 1.883 -6.763
Ni Hg N
4 2 1
Direct
0.000 0.500 0.500
0.138 0.138 0.000
0.500 0.000 0.500
0.862 0.862 0.000
0.333 0.333 0.000
0.667 0.667 0.000
0.000 0.000 0.000
```


Record 10
A relaxed Y6AgHg5 crystal. Source: Alexandria, functional GGA-PBE.

Fermi-level density of states = 10.354 states/eV per cell
M_tot = 0.000 μB per formula unit
E = -48.9 eV for the cell shown
Space group = P2/m, No. 10

Cell and atoms, written as POSCAR:
```
Y6AgHg5
1.0
5.235 0.000 0.000
0.000 7.457 0.000
-2.595 0.000 7.870
Y Ag Hg
6 1 5
Direct
0.000 0.248 0.000
0.000 0.752 0.000
0.334 0.248 0.669
0.334 0.752 0.669
0.666 0.248 0.331
0.666 0.752 0.331
0.500 0.000 0.000
0.165 0.000 0.330
0.167 0.500 0.334
0.500 0.500 0.000
0.833 0.500 0.666
0.835 0.000 0.670
```


Record 11
A relaxed MnCuSi2 crystal. Source: Alexandria, functional GGA-PBE.

Fermi-level density of states = 2.135 states/eV per cell
M_tot = 1.691 μB per formula unit
E = -24.3 eV for the cell shown
Space group = C2/m, No. 12
ΔE_f (raw) = -0.040 eV per atom

Cell and atoms, written as POSCAR:
```
MnCuSi2
1.0
3.937 -1.362 0.000
3.937 1.362 0.000
-0.903 0.000 4.620
Mn Cu Si
1 1 2
Direct
0.000 0.000 0.000
0.500 0.500 0.500
0.256 0.256 0.771
0.744 0.744 0.229
```


Record 12
A relaxed CaNpNiN3 crystal. Source: Alexandria, functional GGA-PBE.

Fermi-level density of states = 10.268 states/eV per cell
M_tot = 1.797 μB per formula unit
E = -100.3 eV for the cell shown
Space group = P2_1/m, No. 11
ΔE_f (raw) = -0.740 eV per atom

Cell and atoms, written as POSCAR:
```
CaNpNiN3
1.0
6.113 0.000 0.000
0.000 3.529 0.000
-1.801 0.000 7.883
Ca Np Ni N
2 2 2 6
Direct
0.153 0.250 0.203
0.847 0.750 0.797
0.361 0.250 0.825
0.639 0.750 0.175
0.144 0.750 0.552
0.856 0.250 0.448
0.035 0.250 0.664
0.286 0.750 0.996
0.439 0.750 0.700
0.561 0.250 0.300
0.714 0.250 0.004
0.965 0.750 0.336
```


Record 13
A relaxed RbNaS crystal. Source: Alexandria, functional GGA-PBE.

Fermi-level density of states = 0.000 states/eV per cell
M_tot = 0.000 μB per formula unit
E = -19.2 eV for the cell shown
Space group = P4/nmm, No. 129
ΔE_f (raw) = -1.060 eV per atom

Cell and atoms, written as POSCAR:
```
RbNaS
1.0
4.727 0.000 0.000
0.000 4.727 0.000
0.000 0.000 7.669
Rb Na S
2 2 2
Direct
0.250 0.250 0.149
0.750 0.750 0.851
0.250 0.750 0.500
0.750 0.250 0.500
0.250 0.250 0.706
0.750 0.750 0.294
```


Record 14
A relaxed BaAs2Pt crystal. Source: Alexandria, functional GGA-PBE.

Fermi-level density of states = 1.931 states/eV per cell
M_tot = 0.000 μB per formula unit
E = -41.4 eV for the cell shown
Space group = P2_1/m, No. 11

Cell and atoms, written as POSCAR:
```
BaAs2Pt
1.0
4.738 0.000 0.000
0.000 4.680 0.000
-2.360 0.000 8.675
Ba As Pt
2 4 2
Direct
0.105 0.250 0.210
0.895 0.750 0.790
0.250 0.750 0.501
0.462 0.250 0.923
0.538 0.750 0.077
0.750 0.250 0.499
0.312 0.250 0.626
0.688 0.750 0.374
```